1.
Ac2InAg4Pb3: optimized geometry, PBE.

Theoretical density in Mg/m³: 9.84
M_tot in μB/f.u.: 0.00
Volume in A^3/atom: 27.38
Formation energy in meV per atom: -268

a = 4.793 Å, b = 4.793 Å, c = 11.917 Å
α = 90.00°, β = 90.00°, γ = 90.00°
Fractional coordinates of all 10 atoms:
Ac 0.500 0.000 0.242
Ac 0.000 0.500 0.758
In 0.500 0.500 0.500
Ag 0.500 0.500 0.000
Ag 0.000 0.000 0.000
Ag 0.500 0.000 0.635
Ag 0.000 0.500 0.365
Pb 0.000 0.000 0.500
Pb 0.500 0.000 0.867
Pb 0.000 0.500 0.133


2.
CaAl2Hg: optimized geometry, PBE.

Theoretical density in Mg/m³: 5.13
M_tot in μB/f.u.: 0.00
Volume in A^3/atom: 23.82
Formation energy in meV per atom: 64

a = 9.383 Å, b = 9.383 Å, c = 9.383 Å
α = 21.28°, β = 21.28°, γ = 21.28°
Fractional coordinates of all 4 atoms:
Ca 0.500 0.500 0.500
Hg 0.743 0.743 0.743
Al 0.999 0.999 0.999
Al 0.259 0.259 0.259